# 1
## CaPr3Cu2 (PBE)

Data for CaPr3Cu2 after structural relaxation.

Computed properties:
As for the space group: Pmc2_1 (26). Its formation enthalpy at 0 K is -71 meV/atom. Its electronic total energy is -49.9 eV per cell.

The structure in extended XYZ format:
```
12
Lattice="5.032 0.000 0.000 0.000 7.391 0.000 0.000 0.000 9.006" Properties=species:S:1:pos:R:3 pbc="T T T"
Pr 0.000 6.313 6.031
Pr 0.000 7.288 0.733
Cu 0.000 1.819 5.859
Cu 2.516 5.557 7.643
Ca 2.516 3.808 5.187
Ca 2.516 0.113 3.819
Pr 0.000 3.593 8.274
Pr 2.516 4.778 1.458
Cu 0.000 5.514 3.147
Pr 2.516 1.083 7.548
Pr 0.000 2.617 2.975
Cu 2.516 1.861 1.363
```

---

# 2
## CaPrCu (PBE)

Data for CaPrCu after structural relaxation.

Computed properties:
As for the space group: F-43m (216). Its formation enthalpy at 0 K is 69 meV/atom. Its electronic total energy is -10.7 eV per cell.

The structure in extended XYZ format:
```
3
Lattice="5.018 0.000 0.000 2.509 4.346 0.000 2.509 1.449 4.097" Properties=species:S:1:pos:R:3 pbc="T T T"
Cu 2.509 1.449 1.024
Pr 0.000 0.000 0.000
Ca 5.018 2.897 2.049
```

---

# 3
## CaPrCu3 (PBE)

Data for CaPrCu3 after structural relaxation.

Computed properties:
As for the space group: Cmcm (63). Its formation enthalpy at 0 K is -172 meV/atom. Its electronic total energy is -39.9 eV per cell.

The structure in extended XYZ format:
```
10
Lattice="-0.307 0.880 -3.818 -0.811 -4.144 -0.890 -12.413 1.698 3.413" Properties=species:S:1:pos:R:3 pbc="T T T"
Cu -8.960 -1.688 0.332
Pr -1.986 -0.733 -0.009
Cu -3.742 -2.162 -2.219
Cu -12.187 1.002 1.212
Pr -11.546 -0.835 -1.286
Ca -7.803 0.670 -1.240
Cu -1.345 -2.569 -2.506
Cu -4.572 0.121 -1.627
Ca -5.728 -2.238 -0.054
Cu -9.790 0.594 0.925
```